# ScTc2W PBE relaxed
# Mass density = 9.9 Mg/m³
# Energy relative to the elements = 524 meV/atom
data_ScTc2W
_chemical_formula_sum 'Sc4 Tc8 W4'
_space_group_name_H-M_alt 'I -4 2 d'
_space_group_IT_number 122
_space_group_name_Hall 'I -4 2bw'
_cell_length_a 7.146
_cell_length_b 7.146
_cell_length_c 5.560
_cell_angle_alpha 90.00
_cell_angle_beta 90.00
_cell_angle_gamma 90.00
loop_
_atom_site_label
_atom_site_type_symbol
_atom_site_fract_x
_atom_site_fract_y
_atom_site_fract_z
_atom_site_occupancy
Sc1 Sc 0.000 0.000 0.000 1
Tc1 Tc 0.222 0.750 0.625 1
W1 W 0.000 0.000 0.500 1

# Mn3NiBi PBE relaxed
# Mass density = 5.5 Mg/m³
# Energy relative to the elements = 1632 meV/atom
data_Mn3NiBi
_chemical_formula_sum 'Mn3 Ni1 Bi1'
_space_group_name_H-M_alt 'P m -3 m'
_space_group_IT_number 221
_space_group_name_Hall '-P 4 2 3'
_cell_length_a 5.064
_cell_length_b 5.064
_cell_length_c 5.064
_cell_angle_alpha 90.00
_cell_angle_beta 90.00
_cell_angle_gamma 90.00
loop_
_atom_site_label
_atom_site_type_symbol
_atom_site_fract_x
_atom_site_fract_y
_atom_site_fract_z
_atom_site_occupancy
Mn1 Mn 0.000 0.000 0.500 1
Ni1 Ni 0.500 0.500 0.500 1
Bi1 Bi 0.000 0.000 0.000 1

# GaCuSi3 PBE relaxed
# Mass density = 3.8 Mg/m³
# E_form (uncorrected) = 0.72 eV/atom
data_GaCuSi3
_chemical_formula_sum 'Ga1 Cu1 Si3'
_space_group_name_H-M_alt 'P m -3 m'
_space_group_IT_number 221
_space_group_name_Hall '-P 4 2 3'
_cell_length_a 4.553
_cell_length_b 4.553
_cell_length_c 4.553
_cell_angle_alpha 90.00
_cell_angle_beta 90.00
_cell_angle_gamma 90.00
loop_
_atom_site_label
_atom_site_type_symbol
_atom_site_fract_x
_atom_site_fract_y
_atom_site_fract_z
_atom_site_occupancy
Ga1 Ga 0.000 0.000 0.000 1
Cu1 Cu 0.500 0.500 0.500 1
Si1 Si 0.000 0.500 0.500 1

# Er3Ga9Ir2 PBE relaxed
# Mass density = 10.1 Mg/m³
# Energy relative to the elements = -609 meV/atom
data_Er3Ga9Ir2
_chemical_formula_sum 'Er6 Ga18 Ir4'
_space_group_name_H-M_alt 'I m m m'
_space_group_IT_number 71
_space_group_name_Hall '-I 2 2'
_cell_length_a 4.265
_cell_length_b 9.497
_cell_length_c 12.309
_cell_angle_alpha 90.00
_cell_angle_beta 90.00
_cell_angle_gamma 90.00
loop_
_atom_site_label
_atom_site_type_symbol
_atom_site_fract_x
_atom_site_fract_y
_atom_site_fract_z
_atom_site_occupancy
Er1 Er 0.000 0.000 0.000 1
Er2 Er 0.000 0.000 0.298 1
Ga1 Ga 0.000 0.282 0.135 1
Ga2 Ga 0.000 0.365 0.346 1
Ga3 Ga 0.000 0.500 0.000 1
Ir1 Ir 0.000 0.177 0.500 1

# SbOsRu2 PBE relaxed
# Mass density = 13.5 Mg/m³
# E_form (uncorrected) = 0.46 eV/atom
data_SbOsRu2
_chemical_formula_sum 'Sb1 Os1 Ru2'
_space_group_name_H-M_alt 'P 4/m m m'
_space_group_IT_number 123
_space_group_name_Hall '-P 4 2'
_cell_length_a 4.662
_cell_length_b 4.662
_cell_length_c 2.901
_cell_angle_alpha 90.00
_cell_angle_beta 90.00
_cell_angle_gamma 90.00
loop_
_atom_site_label
_atom_site_type_symbol
_atom_site_fract_x
_atom_site_fract_y
_atom_site_fract_z
_atom_site_occupancy
Sb1 Sb 0.000 0.000 0.000 1
Os1 Os 0.500 0.500 0.000 1
Ru1 Ru 0.000 0.500 0.500 1

# Sm3Tm2In4 PBE relaxed
# Mass density = 7.6 Mg/m³
# Energy relative to the elements = -223 meV/atom
data_Sm3Tm2In4
_chemical_formula_sum 'Sm12 Tm8 In16'
_space_group_name_H-M_alt 'C m c e'
_space_group_IT_number 64
_space_group_name_Hall '-C 2ac 2'
_cell_length_a 7.070
_cell_length_b 15.258
_cell_length_c 10.047
_cell_angle_alpha 90.00
_cell_angle_beta 90.00
_cell_angle_gamma 90.00
loop_
_atom_site_label
_atom_site_type_symbol
_atom_site_fract_x
_atom_site_fract_y
_atom_site_fract_z
_atom_site_occupancy
Sm1 Sm 0.000 0.000 0.000 1
Sm2 Sm 0.250 0.228 0.250 1
Tm1 Tm 0.000 0.104 0.529 1
In1 In 0.000 0.198 0.987 1
In2 In 0.250 0.005 0.250 1

no.,VASP energy (eV/f.u.)
1,-37.9
2,-29.0
3,-19.8
4,-67.2
5,-32.1
6,-36.1